Entry 1:
5
Lattice="4.7495 0.0000 0.0000 0.0000 4.7495 0.0000 0.0000 0.0000 6.3450" Properties=species:S:1:pos:R:3 comment="RbCaIO2 PBE relaxed" polymorph_energy_mev_per_atom=0 formation_energy_uncorrected_mev_per_atom=-986 volume_a3_per_atom=28.626 e_tot_ev_per_cell=-19.4 pbc="T T T"
Rb 0.0000 0.0000 0.0000
Ca 2.3748 2.3748 3.1725
I 2.3748 2.3748 0.0000
O 0.0000 2.3748 3.1725
O 2.3748 0.0000 3.1725



Entry 2:
5
Lattice="4.6916 0.0000 0.0000 0.0000 4.6916 0.0000 0.0000 0.0000 6.3178" Properties=species:S:1:pos:R:3 comment="RbCaIO2 PBE relaxed" polymorph_energy_mev_per_atom=813 formation_energy_uncorrected_mev_per_atom=-173 volume_a3_per_atom=27.812 e_tot_ev_per_cell=-15.3 pbc="T T T"
Rb 0.0000 0.0000 0.0000
Ca 2.3458 2.3458 3.1589
I 0.0000 0.0000 3.1589
O 0.0000 2.3458 0.0000
O 2.3458 0.0000 0.0000



Entry 3:
9
Lattice="5.8726 0.0000 0.0000 -2.9363 5.0858 0.0000 0.0000 0.0000 5.9848" Properties=species:S:1:pos:R:3 comment="RbCaIO6 PBE relaxed" formation_energy_uncorrected_mev_per_atom=-1012 volume_a3_per_atom=19.861 e_tot_ev_per_cell=-43.4 pbc="T T T"
Rb 0.0000 0.0000 0.0000
Ca 0.0000 3.3905 2.9924
I 2.9363 1.6953 2.9924
O 2.2222 0.3140 4.0619
O 1.3830 1.7675 1.9228
O 3.6504 0.3140 1.9228
O 2.0971 3.0043 4.0619
O 4.4896 1.7675 4.0619
O 3.7755 3.0043 1.9228